Here is a relaxed structure of Be2AsBr from Alexandria. Energies are from GGA-PBE.

Cell and atoms, written as POSCAR:
```
Be2AsBr
1.0
5.310 0.000 0.000
0.000 5.310 0.000
2.655 2.655 5.358
Be As Br
4 2 2
direct
0.582 0.125 0.250 Be
0.168 0.625 0.250 Be
0.375 0.418 0.750 Be
0.875 0.832 0.750 Be
0.500 0.500 0.000 As
0.250 0.750 0.500 As
0.000 0.000 0.000 Br
0.750 0.250 0.500 Br
```

Electronic total energy ... -3.741 eV per atom
Distance to the lowest polymorph of the same formula ... 0 meV/atom
Raw formation energy ... -29 kJ per mole of atoms

Here is a relaxed structure of BeAsBr2 from Alexandria. Energies are from GGA-PBE.

Cell and atoms, written as POSCAR:
```
BeAsBr2
1.0
4.913 0.000 0.000
2.457 4.255 0.000
2.457 1.418 4.012
Be As Br
1 1 2
direct
0.750 0.750 0.750 Be
0.500 0.500 0.500 As
0.000 0.000 0.000 Br
0.250 0.250 0.250 Br
```

Electronic total energy ... -2.041 eV per atom
Distance to the lowest polymorph of the same formula ... 1126 meV/atom
Raw formation energy ... 86 kJ per mole of atoms